Computed, not measured: a relaxed structure of Fe2AgGe at the PBE-GGA level of DFT.

Cell lengths 4.3231, 4.3231, 4.3231 Å; angles 60.00, 60.00, 60.00 degrees
Last column: nearest neighbours and their distance in Å.
Element x y z (fractional)
Fe 0.0000 0.0000 0.0000  4 Ag 2.65, 4 Fe 2.65
Ag 0.2500 0.2500 0.2500  4 Fe 2.65, 4 Ge 2.65
Fe 0.7500 0.7500 0.7500  4 Ge 2.65, 4 Fe 2.65
Ge 0.5000 0.5000 0.5000  4 Fe 2.65, 4 Ag 2.65

Output
Theoretical density   8.49 g/cm3
M_tot   5.14 μB/f.u.
Raw total energy   -0.211 Ha/atom



Computed, not measured: a relaxed structure of Tb2HoSn3PdPt2 at the PBE-GGA level of DFT.

Cell lengths 4.0232, 7.5289, 7.5289 Å; angles 119.84, 90.00, 90.00 degrees
Last column: nearest neighbours and their distance in Å.
Element x y z (fractional)
Tb 0.0000 0.0000 0.4088  4 Pt 3.05, 1 Pd 3.08, 6 Sn 3.22-3.37
Sn 0.5000 0.2578 0.2578  2 Pd 2.80, 2 Pt 2.83
Pt 0.5000 0.6661 0.3350  3 Sn 2.83-2.86, 2 Ho 3.03, 4 Tb 3.05
Pt 0.5000 0.3350 0.6661  3 Sn 2.83-2.86, 2 Ho 3.03, 4 Tb 3.05
Pd 0.0000 0.9988 0.9988  6 Sn 2.79-2.80, 1 Ho 3.07, 2 Tb 3.08
Ho 0.0000 0.5918 0.5918  4 Pt 3.03, 1 Pd 3.07, 6 Sn 3.22-3.36
Tb 0.0000 0.4088 0.0000  4 Pt 3.05, 1 Pd 3.08, 6 Sn 3.22-3.37
Sn 0.5000 0.7424 0.9992  2 Pd 2.79, 2 Pt 2.84-2.86
Sn 0.5000 0.9992 0.7424  2 Pd 2.79, 2 Pt 2.84-2.86

Output
Theoretical density   11.21 g/cm3
M_tot   0.00 μB/f.u.
Raw total energy   -0.215 Ha/atom



Computed, not measured: a relaxed structure of RbSrSm at the PBE-GGA level of DFT.

Cell lengths 6.5466, 6.5466, 6.5466 Å; angles 60.00, 60.00, 60.00 degrees
Last column: nearest neighbours and their distance in Å.
Element x y z (fractional)
Sr 0.7500 0.7500 0.7500  4 Sm 4.01
Sm 0.0000 0.0000 0.0000  4 Rb 4.01, 4 Sr 4.01
Rb 0.2500 0.2500 0.2500  4 Sm 4.01

Output
Theoretical density   2.71 g/cm3
M_tot   2.14 μB/f.u.
Offset from the most stable computed form   0 meV per atom
Raw total energy   -0.055 Ha/atom



Computed, not measured: a relaxed structure of TbHo4Ag5 at the PBE-GGA level of DFT.

Cell lengths 3.6080, 3.6080, 18.1191 Å; angles 90.00, 90.00, 90.00 degrees
Last column: nearest neighbours and their distance in Å.
Element x y z (fractional)
Ho 0.0000 0.0000 0.7989  8 Ag 3.12
Ag 0.5000 0.5000 0.8978  4 Ho 3.12, 4 Tb 3.15
Ag 0.5000 0.5000 0.6994  8 Ho 3.12-3.13
Tb 0.0000 0.0000 0.0000  8 Ag 3.15
Ag 0.5000 0.5000 0.3006  8 Ho 3.12-3.13
Ag 0.5000 0.5000 0.1022  4 Ho 3.12, 4 Tb 3.15
Ho 0.0000 0.0000 0.4003  8 Ag 3.13
Ho 0.0000 0.0000 0.2011  8 Ag 3.12
Ag 0.5000 0.5000 0.5000  8 Ho 3.13
Ho 0.0000 0.0000 0.5997  8 Ag 3.13

Output
Theoretical density   9.56 g/cm3
M_tot   0.00 μB/f.u.
ΔH_f (0 K)   -338 meV per atom
Raw total energy   -0.149 Ha/atom



Computed, not measured: a relaxed structure of PrAlO3 at the PBE-GGA level of DFT.

Cell lengths 5.5372, 5.5289, 8.7196 Å; angles 90.00, 90.00, 90.00 degrees
Last column: nearest neighbours and their distance in Å.
Element x y z (fractional)
O 0.8184 0.7300 0.7500  2 Al 1.85-1.89
Al 0.9599 0.0326 0.7500  4 O 1.73-1.89
O 0.3184 0.7700 0.2500  2 Al 1.85-1.89
Pr 0.5000 0.0000 0.5000  4 O 2.32
O 0.8687 0.8680 0.4041  1 Al 1.73
Pr 0.0000 0.5000 0.0000  4 O 2.32
O 0.6816 0.2300 0.7500  2 Al 1.85-1.89
Al 0.4599 0.4674 0.2500  4 O 1.73-1.89
Pr 0.0000 0.5000 0.5000  4 O 2.32
Pr 0.5000 0.0000 0.0000  4 O 2.32
O 0.3687 0.6320 0.9041  1 Al 1.73
O 0.1816 0.2700 0.2500  2 Al 1.85-1.89
O 0.6313 0.3680 0.0959  1 Al 1.73
Al 0.0401 0.9674 0.2500  4 O 1.73-1.89
O 0.1313 0.1320 0.5959  1 Al 1.73
O 0.1313 0.1320 0.9041  1 Al 1.73
O 0.6313 0.3680 0.4041  1 Al 1.73
O 0.3687 0.6320 0.5959  1 Al 1.73
Al 0.5401 0.5326 0.7500  4 O 1.73-1.89
O 0.8687 0.8680 0.0959  1 Al 1.73

Output
Theoretical density   5.37 g/cm3
M_tot   0.00 μB/f.u.
Raw total energy   -0.280 Ha/atom



Computed, not measured: a relaxed structure of CsDySO at the PBE-GGA level of DFT.

Cell lengths 8.7405, 9.5811, 5.5856 Å; angles 90.00, 90.00, 90.00 degrees
Last column: nearest neighbours and their distance in Å.
Element x y z (fractional)
Cs 0.3881 0.1039 0.0610  4 O 2.99-3.28
S 0.6084 0.4006 0.0635  4 Dy 2.73-2.82
O 0.5227 0.8159 0.0622  1 Dy 1.98
Dy 0.4237 0.6306 0.0633  1 O 1.98
S 0.8916 0.4006 0.5635  4 Dy 2.73-2.82
Cs 0.8881 0.8961 0.0610  4 O 2.99-3.28
Cs 0.1119 0.1039 0.5610  4 O 2.99-3.28
Dy 0.0763 0.6306 0.5633  1 O 1.98
Cs 0.6119 0.8961 0.5610  4 O 2.99-3.28
Dy 0.9237 0.3694 0.0633  1 O 1.98
O 0.0227 0.1841 0.0622  1 Dy 1.98
O 0.4773 0.1841 0.5622  1 Dy 1.98
O 0.9773 0.8159 0.5622  1 Dy 1.98
Dy 0.5763 0.3694 0.5633  1 O 1.98
S 0.3916 0.5994 0.5635  4 Dy 2.73-2.82
S 0.1084 0.5994 0.0635  4 Dy 2.73-2.82

Output
Theoretical density   4.88 g/cm3
M_tot   0.00 μB/f.u.
Offset from the most stable computed form   172 meV per atom
Raw total energy   -0.209 Ha/atom



Computed, not measured: a relaxed structure of PmNiIr at the PBE-GGA level of DFT.

Cell lengths 4.3664, 4.3664, 4.3664 Å; angles 60.00, 60.00, 60.00 degrees
Last column: nearest neighbours and their distance in Å.
Element x y z (fractional)
Ir 0.2500 0.2500 0.2500  4 Ni 2.67
Pm 0.7500 0.7500 0.7500  4 Ni 2.67
Ni 0.0000 0.0000 0.0000  4 Pm 2.67, 4 Ir 2.67

Output
Theoretical density   11.17 g/cm3
M_tot   0.32 μB/f.u.
Offset from the most stable computed form   490 meV per atom
ΔH_f (0 K)   -85 meV per atom
Raw total energy   -0.238 Ha/atom



Computed, not measured: a relaxed structure of LaNd2Ni2Ge4Pd2 at the PBE-GGA level of DFT.

Cell lengths 12.7162, 12.7162, 12.7162 Å; angles 161.30, 160.31, 27.28 degrees
Last column: nearest neighbours and their distance in Å.
Element x y z (fractional)
La 0.0000 0.0000 0.0000  4 Pd 3.24, 8 Ge 3.26
Pd 0.1008 0.6008 0.5000  3 Ge 2.50-2.52
Nd 0.6532 0.1532 0.5000  4 Ni 3.16-3.24, 6 Ge 3.24-3.26, 4 Pd 3.27
Ge 0.7972 0.2972 0.5000  4 Ni 2.38-2.46, 1 Pd 2.52
Ni 0.2502 0.2502 0.0000  4 Ge 2.38-2.46
Pd 0.8992 0.3992 0.5000  3 Ge 2.50-2.52
Ge 0.5513 0.5513 0.0000  2 Pd 2.50, 1 Ge 2.53
Nd 0.3468 0.8468 0.5000  4 Ni 3.16-3.24, 6 Ge 3.24-3.26, 4 Pd 3.27
Ge 0.4487 0.4487 0.0000  2 Pd 2.50, 1 Ge 2.53
Ge 0.2028 0.7028 0.5000  4 Ni 2.38-2.46, 1 Pd 2.52
Ni 0.7498 0.7498 0.0000  4 Ge 2.38-2.46

Output
Theoretical density   7.84 g/cm3
M_tot   0.00 μB/f.u.
Raw total energy   -0.212 Ha/atom



Computed, not measured: a relaxed structure of SmMoIr at the PBE-GGA level of DFT.

Cell lengths 4.5780, 4.5780, 4.5780 Å; angles 60.00, 60.00, 60.00 degrees
Last column: nearest neighbours and their distance in Å.
Element x y z (fractional)
Sm 0.2500 0.2500 0.2500  4 Ir 2.80
Mo 0.7500 0.7500 0.7500  4 Ir 2.80
Ir 0.0000 0.0000 0.0000  4 Mo 2.80, 4 Sm 2.80

Output
Theoretical density   10.73 g/cm3
M_tot   0.04 μB/f.u.
Offset from the most stable computed form   0 meV per atom
ΔH_f (0 K)   296 meV per atom
Raw total energy   -0.288 Ha/atom



Computed, not measured: a relaxed structure of NiPW at the PBE-GGA level of DFT.

Cell lengths 5.8410, 5.8410, 3.7730 Å; angles 90.00, 90.00, 120.00 degrees
Last column: nearest neighbours and their distance in Å.
Element x y z (fractional)
W 0.0000 0.5858 0.5000  5 P 2.42-2.58
W 0.5858 0.0000 0.5000  5 P 2.42-2.58
Ni 0.7479 0.7479 0.0000  4 P 2.22-2.39
P 0.3333 0.6667 0.0000  3 Ni 2.22
P 0.6667 0.3333 0.0000  3 Ni 2.22
Ni 0.0000 0.2521 0.0000  4 P 2.22-2.39
Ni 0.2521 0.0000 0.0000  4 P 2.22-2.39
P 0.0000 0.0000 0.5000  6 Ni 2.39, 3 W 2.42
W 0.4142 0.4142 0.5000  5 P 2.42-2.58

Output
Theoretical density   12.22 g/cm3
M_tot   0.00 μB/f.u.
Raw total energy   -0.306 Ha/atom



Computed, not measured: a relaxed structure of DyHoBi2Te2 at the PBE-GGA level of DFT.

Cell lengths 4.3843, 4.3843, 9.2917 Å; angles 90.00, 90.00, 90.00 degrees
Last column: nearest neighbours and their distance in Å.
Element x y z (fractional)
Te 0.0000 0.0000 0.6255  1 Dy 3.17, 4 Ho 3.21
Te 0.5000 0.5000 0.3751  1 Ho 3.16, 4 Dy 3.21
Bi 0.0000 0.5000 0.9998  4 Bi 3.10, 2 Ho 3.43, 2 Dy 3.44
Ho 0.5000 0.5000 0.7153  5 Te 3.16-3.21, 4 Bi 3.43
Bi 0.5000 0.0000 0.9998  4 Bi 3.10, 2 Ho 3.43, 2 Dy 3.44
Dy 0.0000 0.0000 0.2845  5 Te 3.17-3.21, 4 Bi 3.44

Output
Theoretical density   9.30 g/cm3
M_tot   0.01 μB/f.u.
Raw total energy   -0.180 Ha/atom